(i)
Entry from the Alexandria database: crystalline LaV2Ru2 at its relaxed geometry (PBE).

Cell and atoms, written as CIF:
```
data_LaV2Ru2
_chemical_formula_sum 'La2 V4 Ru4'
_cell_length_a 4.191
_cell_length_b 4.191
_cell_length_c 10.660
_cell_angle_alpha 90.00
_cell_angle_beta 90.00
_cell_angle_gamma 90.00
_space_group_name_H-M_alt 'I 4/m m m'
_space_group_IT_number 139
_space_group_name_Hall '-I 4 2'
loop_
_atom_site_label
_atom_site_type_symbol
_atom_site_fract_x
_atom_site_fract_y
_atom_site_fract_z
La1 La 0.000 0.000 0.000
V1 V 0.000 0.500 0.250
Ru1 Ru 0.000 0.000 0.371
```

=====

(ii)
Entry from the Alexandria database: crystalline LaV2Ru2 at its relaxed geometry (PBE).

Cell and atoms, written as CIF:
```
data_LaV2Ru2
_chemical_formula_sum 'La2 V4 Ru4'
_cell_length_a 7.604
_cell_length_b 7.604
_cell_length_c 2.880
_cell_angle_alpha 90.00
_cell_angle_beta 90.00
_cell_angle_gamma 90.00
_space_group_name_H-M_alt 'P 4/m b m'
_space_group_IT_number 127
_space_group_name_Hall '-P 4 2ab'
loop_
_atom_site_label
_atom_site_type_symbol
_atom_site_fract_x
_atom_site_fract_y
_atom_site_fract_z
La1 La 0.000 0.000 0.000
V1 V 0.141 0.359 0.000
Ru1 Ru 0.141 0.641 0.500
```

=====

Most favorable structure: (i). The second most favorable one is 195 meV/atom above it.